1.
Material: Nd3Se2S2
Method: DFT, GGA-PBE
State: optimized geometry

Structure (POSCAR):
```
Nd3Se2S2
1.0
4.122 -0.004 -0.004
-2.055 6.690 -1.108
0.000 -0.118 7.363
Nd Se S
3 2 2
Direct
0.000 0.000 0.000
0.761 0.522 0.253
0.239 0.478 0.747
0.128 0.254 0.368
0.872 0.746 0.632
0.628 0.256 0.895
0.372 0.744 0.105
```

- Polymorph energy (0 for the lowest one): 0 meV/atom
- ΔE_f (raw): -1.960 eV/atom

2.
Material: Nd4Se3S
Method: DFT, GGA-PBE
State: optimized geometry

Structure (POSCAR):
```
Nd4Se3S
1.0
4.158 0.000 0.000
0.000 6.906 -2.344
0.000 -0.047 7.292
Se Nd S
3 4 1
Direct
0.000 0.500 0.000
0.500 0.500 0.500
0.000 0.000 0.500
0.500 0.239 0.761
0.500 0.761 0.239
0.000 0.232 0.232
0.000 0.768 0.768
0.500 0.000 0.000
```

- Polymorph energy (0 for the lowest one): 0 meV/atom
- ΔE_f (raw): -1.887 eV/atom